(1)
PBE-GGA Sb2OsRuSe, optimized geometry; formation energy from raw total energies = 1132 meV per atom; electronic total energy = -5.31 eV per atom; total magnetization = 0.66 μB per formula unit
1.0
5.0821 0.0000 0.0000
0.0000 5.0821 0.0000
0.0000 0.0000 4.7627
Sb Os Ru Se
2 1 1 1
Direct
0.0000 0.5000 0.0000 Sb
0.5000 0.0000 0.0000 Sb
0.0000 0.0000 0.5000 Os
0.0000 0.0000 0.0000 Ru
0.5000 0.5000 0.5000 Se



(2)
PBE-GGA Al2TlBr8, optimized geometry; formation energy from raw total energies = -949 meV per atom; electronic total energy = -3.06 eV per atom; total magnetization = 0.00 μB per formula unit
1.0
6.7851 -5.0318 0.0000
6.7851 5.0318 0.0000
-1.0471 0.0000 6.6628
Al Tl Br
2 1 8
Direct
0.2007 0.2007 0.1569 Al
0.7993 0.7993 0.8431 Al
0.0000 0.0000 0.5000 Tl
0.0719 0.6988 0.7467 Br
0.1943 0.1943 0.8055 Br
0.3012 0.9281 0.2533 Br
0.3657 0.3657 0.2901 Br
0.6343 0.6343 0.7099 Br
0.6988 0.0719 0.7467 Br
0.8057 0.8057 0.1945 Br
0.9281 0.3012 0.2533 Br



(3)
PBE-GGA AcMg2Cu2Pd, optimized geometry; energy relative to the elements = -0.01 eV per atom; electronic total energy = -3.46 eV per atom; total magnetization = 0.00 μB per formula unit
1.0
-2.4269 2.4269 5.9001
2.4269 -2.4269 5.9001
2.4269 2.4269 -5.9001
Ac Mg Cu Pd
1 2 2 1
Direct
0.0000 0.0000 0.0000 Ac
0.2500 0.7500 0.5000 Mg
0.7500 0.2500 0.5000 Mg
0.2933 0.2933 0.0000 Cu
0.7067 0.7067 0.0000 Cu
0.5000 0.5000 0.0000 Pd



(4)
PBE-GGA Ce2InNi6, optimized geometry; energy relative to the elements = -0.04 eV per atom; electronic total energy = -5.52 eV per atom; total magnetization = 0.00 μB per formula unit
1.0
-1.6362 3.4453 6.5361
1.6362 -3.4453 6.5361
1.6362 3.4453 -6.5361
Ce In Ni
2 1 6
Direct
0.1425 0.1425 0.0000 Ce
0.8575 0.8575 0.0000 Ce
0.5000 0.0000 0.5000 In
0.1417 0.3226 0.8191 Ni
0.1855 0.5000 0.6855 Ni
0.4965 0.6774 0.8191 Ni
0.5035 0.3226 0.1809 Ni
0.8145 0.5000 0.3145 Ni
0.8583 0.6774 0.1809 Ni



(5)
PBE-GGA RbPrIn2I6, optimized geometry; formation energy from raw total energies = -1052 meV per atom; electronic total energy = -3.10 eV per atom; total magnetization = 0.00 μB per formula unit
1.0
8.7250 0.0000 0.0000
4.3600 7.5638 0.0000
4.3623 2.5157 7.7248
Rb Pr In I
1 1 2 6
Direct
0.0000 0.0000 0.0000 Rb
0.4885 0.4887 0.5340 Pr
0.2960 0.2962 0.1114 In
0.8063 0.8064 0.5807 In
0.1073 0.4252 0.7957 I
0.2445 0.8537 0.3181 I
0.4249 0.6711 0.7962 I
0.5835 0.2444 0.3181 I
0.6712 0.1081 0.7957 I
0.8537 0.5840 0.3179 I



(6)
PBE-GGA NaHoZnIn, optimized geometry; energy relative to the elements = -0.17 eV per atom; electronic total energy = -2.64 eV per atom; total magnetization = 0.00 μB per formula unit
1.0
0.0000 3.6244 3.6244
3.6244 0.0000 3.6244
3.6244 3.6244 0.0000
Na Ho Zn In
1 1 1 1
Direct
0.0000 0.0000 0.0000 Na
0.5000 0.5000 0.5000 Ho
0.7500 0.7500 0.7500 Zn
0.2500 0.2500 0.2500 In



(7)
PBE-GGA Hg2OsW, optimized geometry; energy relative to the elements = 1.06 eV per atom; electronic total energy = -5.13 eV per atom; total magnetization = 0.00 μB per formula unit
1.0
-1.9778 1.9778 4.5780
1.9778 -1.9778 4.5780
1.9778 1.9778 -4.5780
Hg Os W
2 1 1
Direct
0.2500 0.7500 0.5000 Hg
0.7500 0.2500 0.5000 Hg
0.0000 0.0000 0.0000 Os
0.5000 0.5000 0.0000 W



(8)
PBE-GGA Cs2KNaZn, optimized geometry; energy relative to the elements = 0.15 eV per atom; electronic total energy = -0.93 eV per atom; total magnetization = 0.00 μB per formula unit
1.0
7.2698 0.0000 0.0000
0.0000 7.2698 0.0000
0.0000 0.0000 6.7655
Cs K Na Zn
2 1 1 1
Direct
0.0000 0.5000 0.0000 Cs
0.5000 0.0000 0.0000 Cs
0.0000 0.0000 0.5000 K
0.5000 0.5000 0.5000 Na
0.0000 0.0000 0.0000 Zn



(9)
PBE-GGA Y2Ni2Hg, optimized geometry; energy relative to the elements = -0.29 eV per atom; electronic total energy = -5.25 eV per atom; total magnetization = 0.00 μB per formula unit
1.0
-2.6367 2.6367 3.8358
2.6367 -2.6367 3.8358
2.6367 2.6367 -3.8358
Y Ni Hg
2 2 1
Direct
0.2500 0.7500 0.5000 Y
0.7500 0.2500 0.5000 Y
0.1473 0.1473 0.0000 Ni
0.8527 0.8527 0.0000 Ni
0.5000 0.5000 0.0000 Hg



(10)
PBE-GGA Tc2P, optimized geometry; energy relative to the elements = -0.29 eV per atom; electronic total energy = -9.01 eV per atom; total magnetization = 0.00 μB per formula unit
1.0
4.3797 -1.4734 0.0000
4.3797 1.4734 0.0000
-2.7754 0.0000 6.3846
Tc P
4 2
Direct
0.0110 0.0110 0.2985 Tc
0.3443 0.3443 0.9452 Tc
0.6557 0.6557 0.0548 Tc
0.9890 0.9890 0.7015 Tc
0.3176 0.3176 0.3732 P
0.6824 0.6824 0.6268 P



(11)
PBE-GGA AcPuTh2As4, optimized geometry; energy relative to the elements = -1.32 eV per atom; electronic total energy = -7.81 eV per atom; total magnetization = 5.72 μB per formula unit
1.0
7.4575 0.0000 0.0000
0.0000 4.3118 0.0000
-2.4981 0.0000 7.0532
Ac Pu Th As
1 1 2 4
Direct
0.0000 0.0000 0.0000 Ac
0.5000 0.5000 0.0000 Pu
0.0000 0.5000 0.5000 Th
0.5000 0.0000 0.5000 Th
0.2568 0.0000 0.7454 As
0.2617 0.5000 0.2624 As
0.7383 0.5000 0.7376 As
0.7432 0.0000 0.2546 As



(12)
PBE-GGA LiAcPuPt, optimized geometry; energy relative to the elements = -0.33 eV per atom; electronic total energy = -6.93 eV per atom; total magnetization = 5.83 μB per formula unit
1.0
0.0000 3.6875 3.6875
3.6875 0.0000 3.6875
3.6875 3.6875 0.0000
Li Ac Pu Pt
1 1 1 1
Direct
0.0000 0.0000 0.0000 Li
0.2500 0.2500 0.2500 Ac
0.7500 0.7500 0.7500 Pu
0.5000 0.5000 0.5000 Pt